A relaxed KNa2MgPd crystal. Source: Alexandria via LeMat-Bulk, functional PBE-GGA.

Cell: 5.7077 5.7077 5.1062 Å, 90.00 90.00 90.00°
Fractional positions:
K 0.0000 0.0000 0.0000
Na 0.0000 0.5000 0.5000
Na 0.5000 0.0000 0.5000
Mg 0.5000 0.5000 0.0000
Pd 0.5000 0.5000 0.5000

Values from the calculation:
Fermi-level density of states = 1.9 states/eV per cell
Crystal system = tetragonal
Magnetic moment = 0.00 μB per formula unit
Final energy = -2.158 eV/atom
E_form = -0.0535 eV/atom
Volume = 166 Å³/cell

A relaxed BaSrHgPt crystal. Source: Alexandria via LeMat-Bulk, functional PBE-GGA.

Cell: 5.5662 5.5662 5.5662 Å, 60.00 60.00 60.00°
Fractional positions:
Ba 0.0000 0.0000 0.0000
Sr 0.5000 0.5000 0.5000
Hg 0.7500 0.7500 0.7500
Pt 0.2500 0.2500 0.2500

Values from the calculation:
Fermi-level density of states = 3.6 states/eV per cell
Crystal system = cubic
Magnetic moment = 0.00 μB per formula unit
Final energy = -3.040 eV/atom
E_form = -0.5528 eV/atom
Volume = 122 Å³/cell

A relaxed SiSb2Pt crystal. Source: Alexandria via LeMat-Bulk, functional PBE-GGA.

Cell: 3.4129 3.4129 7.5552 Å, 90.00 90.00 90.00°
Fractional positions:
Si 0.0000 0.0000 0.0000
Sb 0.0000 0.0000 0.3735
Sb 0.5000 0.5000 0.7680
Pt 0.5000 0.5000 0.1340

Values from the calculation:
Fermi-level density of states = 2.1 states/eV per cell
Crystal system = tetragonal
Magnetic moment = 0.00 μB per formula unit
Final energy = -4.903 eV/atom
Volume = 88 Å³/cell
Formation energy from raw total energies = 0.024 eV/atom

A relaxed NaUZn17 crystal. Source: Alexandria via LeMat-Bulk, functional PBE-GGA.

Cell: 6.8192 6.8192 6.8192 Å, 82.58 82.58 82.58°
Fractional positions:
Na 0.0000 0.0000 0.0000
U 0.6780 0.6780 0.6780
Zn 0.0428 0.3395 0.6406
Zn 0.0428 0.6406 0.3395
Zn 0.1800 0.6925 0.6925
Zn 0.2402 0.2402 0.2402
Zn 0.3395 0.0428 0.6406
Zn 0.3395 0.6406 0.0428
Zn 0.3457 0.3457 0.8371
Zn 0.3457 0.8371 0.3457
Zn 0.4418 0.4418 0.4418
Zn 0.5003 0.9874 0.9874
Zn 0.6406 0.0428 0.3395
Zn 0.6406 0.3395 0.0428
Zn 0.6925 0.1800 0.6925
Zn 0.6925 0.6925 0.1800
Zn 0.8371 0.3457 0.3457
Zn 0.9874 0.5003 0.9874
Zn 0.9874 0.9874 0.5003

Values from the calculation:
Fermi-level density of states = 11.5 states/eV per cell
Crystal system = trigonal
Magnetic moment = 2.85 μB per formula unit
Final energy = -1.844 eV/atom
E_form = -0.0406 eV/atom
Volume = 310 Å³/cell

A relaxed Ce4Tl2In crystal. Source: Alexandria via LeMat-Bulk, functional PBE-GGA.

Cell: 8.0856 6.5697 6.3054 Å, 77.78 52.57 49.65°
Fractional positions:
Ce 0.0000 0.0000 0.5000
Ce 0.2500 0.2500 0.2500
Ce 0.5000 0.5000 0.0000
Ce 0.7500 0.7500 0.7500
Tl 0.1414 0.1414 0.8586
Tl 0.8586 0.8586 0.1414
In 0.5000 0.5000 0.5000

Values from the calculation:
Fermi-level density of states = 16.9 states/eV per cell
Crystal system = orthorhombic
Magnetic moment = 1.21 μB per formula unit
Final energy = -4.383 eV/atom
E_form = 0.0754 eV/atom
E above lowest polymorph = 0 meV per atom
Volume = 193 Å³/cell

A relaxed Ba2Ge5Pt3 crystal. Source: Alexandria via LeMat-Bulk, functional PBE-GGA.

Cell: 8.9005 8.9005 8.9005 Å, 107.87 87.45 137.53°
Fractional positions:
Ba 0.1290 0.2436 0.3727
Ba 0.3710 0.7436 0.1146
Ba 0.6290 0.2564 0.8854
Ba 0.8710 0.7564 0.6273
Ge 0.0023 0.7500 0.2523
Ge 0.1131 0.6368 0.7499
Ge 0.2500 0.2500 0.0000
Ge 0.3869 0.1368 0.5237
Ge 0.4977 0.7500 0.7477
Ge 0.5023 0.2500 0.2523
Ge 0.6131 0.8632 0.4763
Ge 0.7500 0.7500 0.0000
Ge 0.8869 0.3632 0.2501
Ge 0.9977 0.2500 0.7477
Pt 0.1283 0.8856 0.0139
Pt 0.2500 0.7500 0.5000
Pt 0.3717 0.3856 0.7574
Pt 0.6283 0.6144 0.2426
Pt 0.7500 0.2500 0.5000
Pt 0.8717 0.1144 0.9861

Values from the calculation:
Fermi-level density of states = 9.4 states/eV per cell
Crystal system = orthorhombic
Magnetic moment = 0.00 μB per formula unit
Final energy = -5.194 eV/atom
E_form = -0.6888 eV/atom
Volume = 435 Å³/cell

A relaxed CdIn2Ag crystal. Source: Alexandria via LeMat-Bulk, functional PBE-GGA.

Cell: 3.2551 3.2551 8.6912 Å, 90.00 90.00 90.36°
Fractional positions:
Cd 0.0000 0.0000 0.0000
In 0.5000 0.5000 0.2680
In 0.5000 0.5000 0.7320
Ag 0.0000 0.0000 0.5000

Values from the calculation:
Fermi-level density of states = 1.1 states/eV per cell
Crystal system = orthorhombic
Magnetic moment = 0.00 μB per formula unit
Final energy = -2.280 eV/atom
E_form = 0.0312 eV/atom
Volume = 92 Å³/cell

A relaxed SnBRh3 crystal. Source: Alexandria via LeMat-Bulk, functional PBE-GGA.

Cell: 10.2641 10.2641 10.2641 Å, 154.11 154.11 36.94°
Fractional positions:
Sn 0.0000 0.0000 0.0000
Sn 0.7500 0.2500 0.5000
B 0.1425 0.6425 0.5000
B 0.3575 0.8575 0.5000
Rh 0.3494 0.3494 0.0000
Rh 0.3694 0.1241 0.2453
Rh 0.6506 0.6506 0.0000
Rh 0.8759 0.1212 0.2453
Rh 0.8759 0.6306 0.7547
Rh 0.8788 0.1241 0.7547

Values from the calculation:
Fermi-level density of states = 6.8 states/eV per cell
Crystal system = tetragonal
Magnetic moment = 0.00 μB per formula unit
Final energy = -5.919 eV/atom
E_form = 0.6278 eV/atom
Volume = 206 Å³/cell

A relaxed SrTe3Pb2 crystal. Source: Alexandria via LeMat-Bulk, functional PBE-GGA.

Cell: 8.1243 8.1243 8.1243 Å, 146.54 132.03 59.75°
Fractional positions:
Sr 0.0000 0.0000 0.0000
Te 0.1699 0.6699 0.5000
Te 0.5000 0.0000 0.5000
Te 0.8301 0.3301 0.5000
Pb 0.3339 0.3339 0.0000
Pb 0.6661 0.6661 0.0000

Values from the calculation:
Fermi-level density of states = 0.0 states/eV per cell
Crystal system = orthorhombic
Magnetic moment = 0.00 μB per formula unit
Final energy = -3.930 eV/atom
E above lowest polymorph = 0 meV per atom
Volume = 218 Å³/cell
Formation energy from raw total energies = -0.843 eV/atom

A relaxed BaTlRh2 crystal. Source: Alexandria via LeMat-Bulk, functional PBE-GGA.

Cell: 5.0882 5.0882 5.0882 Å, 60.00 60.00 60.00°
Fractional positions:
Ba 0.0000 0.0000 0.0000
Tl 0.2500 0.2500 0.2500
Rh 0.5000 0.5000 0.5000
Rh 0.7500 0.7500 0.7500

Values from the calculation:
Fermi-level density of states = 6.0 states/eV per cell
Crystal system = cubic
Magnetic moment = 0.93 μB per formula unit
Final energy = -4.325 eV/atom
E_form = 0.4227 eV/atom
Volume = 93 Å³/cell

A relaxed TbGa6Co2 crystal. Source: Alexandria via LeMat-Bulk, functional PBE-GGA.

Cell: 8.0684 8.0684 8.0684 Å, 60.00 60.00 60.00°
Fractional positions:
Tb 0.1250 0.1250 0.1250
Tb 0.8750 0.8750 0.8750
Ga 0.1479 0.1479 0.6021
Ga 0.1479 0.6021 0.1479
Ga 0.1479 0.6021 0.6021
Ga 0.3979 0.3979 0.8521
Ga 0.3979 0.8521 0.3979
Ga 0.3979 0.8521 0.8521
Ga 0.6021 0.1479 0.1479
Ga 0.6021 0.1479 0.6021
Ga 0.6021 0.6021 0.1479
Ga 0.8521 0.3979 0.3979
Ga 0.8521 0.3979 0.8521
Ga 0.8521 0.8521 0.3979
Co 0.0000 0.5000 0.5000
Co 0.5000 0.0000 0.5000
Co 0.5000 0.5000 0.0000
Co 0.5000 0.5000 0.5000

Values from the calculation:
Fermi-level density of states = 16.7 states/eV per cell
Crystal system = cubic
Magnetic moment = 0.00 μB per formula unit
Final energy = -4.000 eV/atom
E_form = 0.1120 eV/atom
Volume = 371 Å³/cell

A relaxed Pr3Sm5Bi12 crystal. Source: Alexandria via LeMat-Bulk, functional PBE-GGA.

Cell: 16.1841 16.1841 16.1841 Å, 109.47 109.47 109.47°
Fractional positions:
Pr 0.1250 0.2500 0.3750
Pr 0.1250 0.3750 0.7500
Pr 0.2500 0.3750 0.1250
Pr 0.2500 0.8750 0.6250
Pr 0.3750 0.1250 0.2500
Pr 0.3750 0.7500 0.1250
Pr 0.6250 0.2500 0.8750
Pr 0.6250 0.8750 0.7500
Pr 0.7500 0.1250 0.3750
Pr 0.7500 0.6250 0.8750
Pr 0.8750 0.6250 0.2500
Pr 0.8750 0.7500 0.6250
Sm 0.0000 0.0000 0.0000
Sm 0.0000 0.0000 0.5000
Sm 0.0000 0.5000 0.0000
Sm 0.0000 0.5000 0.5000
Sm 0.1250 0.7500 0.8750
Sm 0.1250 0.8750 0.2500
Sm 0.2500 0.1250 0.8750
Sm 0.2500 0.6250 0.3750
Sm 0.3750 0.2500 0.6250
Sm 0.3750 0.6250 0.7500
Sm 0.5000 0.0000 0.0000
Sm 0.5000 0.0000 0.5000
Sm 0.5000 0.5000 0.0000
Sm 0.5000 0.5000 0.5000
Sm 0.6250 0.3750 0.2500
Sm 0.6250 0.7500 0.3750
Sm 0.7500 0.3750 0.6250
Sm 0.7500 0.8750 0.1250
Sm 0.8750 0.1250 0.7500
Sm 0.8750 0.2500 0.1250
Bi 0.0660 0.2385 0.1406
Bi 0.0660 0.3275 0.9254
Bi 0.0746 0.6406 0.4021
Bi 0.0746 0.9340 0.6725
Bi 0.0979 0.7385 0.6725
Bi 0.0979 0.8594 0.4254
Bi 0.1406 0.0660 0.2385
Bi 0.1406 0.5746 0.9021
Bi 0.1725 0.2385 0.5979
Bi 0.1725 0.4340 0.5746
Bi 0.2385 0.1406 0.0660
Bi 0.2385 0.5979 0.1725
Bi 0.2615 0.3275 0.9021
Bi 0.2615 0.4340 0.3594
Bi 0.3275 0.9021 0.2615
Bi 0.3275 0.9254 0.0660
Bi 0.3594 0.2615 0.4340
Bi 0.3594 0.5979 0.9254
Bi 0.4021 0.0746 0.6406
Bi 0.4021 0.8275 0.7615
Bi 0.4254 0.0979 0.8594
Bi 0.4254 0.8275 0.5660
Bi 0.4340 0.3594 0.2615
Bi 0.4340 0.5746 0.1725
Bi 0.5660 0.4254 0.8275
Bi 0.5660 0.6406 0.7385
Bi 0.5746 0.1725 0.4340
Bi 0.5746 0.9021 0.1406
Bi 0.5979 0.1725 0.2385
Bi 0.5979 0.9254 0.3594
Bi 0.6406 0.4021 0.0746
Bi 0.6406 0.7385 0.5660
Bi 0.6725 0.0746 0.9340
Bi 0.6725 0.0979 0.7385
Bi 0.7385 0.5660 0.6406
Bi 0.7385 0.6725 0.0979
Bi 0.7615 0.4021 0.8275
Bi 0.7615 0.8594 0.9340
Bi 0.8275 0.5660 0.4254
Bi 0.8275 0.7615 0.4021
Bi 0.8594 0.4254 0.0979
Bi 0.8594 0.9340 0.7615
Bi 0.9021 0.1406 0.5746
Bi 0.9021 0.2615 0.3275
Bi 0.9254 0.0660 0.3275
Bi 0.9254 0.3594 0.5979
Bi 0.9340 0.6725 0.0746
Bi 0.9340 0.7615 0.8594

Values from the calculation:
Fermi-level density of states = 65.6 states/eV per cell
Crystal system = cubic
Magnetic moment = 0.00 μB per formula unit
Final energy = -4.476 eV/atom
E_form = -0.2505 eV/atom
Volume = 3263 Å³/cell

A relaxed SrPmPBr crystal. Source: Alexandria via LeMat-Bulk, functional PBE-GGA.

Cell: 8.0157 8.0157 8.0157 Å, 30.44 30.44 30.44°
Fractional positions:
Sr 0.0000 0.0000 0.0000
Pm 0.8028 0.8028 0.8028
P 0.4072 0.4072 0.4072
Br 0.2295 0.2295 0.2295

Values from the calculation:
Fermi-level density of states = 2.5 states/eV per cell
Crystal system = trigonal
Magnetic moment = 0.00 μB per formula unit
Final energy = -4.835 eV/atom
Volume = 117 Å³/cell
Formation energy from raw total energies = -1.457 eV/atom

A relaxed ZnReSi2 crystal. Source: Alexandria via LeMat-Bulk, functional PBE-GGA.

Cell: 4.3045 4.3045 4.3045 Å, 60.00 60.00 60.00°
Fractional positions:
Zn 0.0000 0.0000 0.0000
Re 0.2500 0.2500 0.2500
Si 0.5000 0.5000 0.5000
Si 0.7500 0.7500 0.7500

Values from the calculation:
Fermi-level density of states = 3.9 states/eV per cell
Crystal system = cubic
Magnetic moment = 0.00 μB per formula unit
Final energy = -5.578 eV/atom
Volume = 56 Å³/cell
Formation energy from raw total energies = 0.564 eV/atom

A relaxed Ac2AlTl crystal. Source: Alexandria via LeMat-Bulk, functional PBE-GGA.

Cell: 11.9808 11.9808 11.9808 Å, 18.68 18.68 18.68°
Fractional positions:
Ac 0.0993 0.0993 0.0993
Ac 0.9007 0.9007 0.9007
Al 0.5000 0.5000 0.5000
Tl 0.0000 0.0000 0.0000

Values from the calculation:
Fermi-level density of states = 3.8 states/eV per cell
Crystal system = trigonal
Magnetic moment = 0.00 μB per formula unit
Final energy = -3.503 eV/atom
E_form = 0.0788 eV/atom
Volume = 154 Å³/cell

A relaxed Zn2ReP crystal. Source: Alexandria via LeMat-Bulk, functional PBE-GGA.

Cell: 2.7034 4.9639 4.4606 Å, 90.00 99.94 90.00°
Fractional positions:
Zn 0.2143 0.0000 0.2576
Zn 0.7857 0.0000 0.7424
Re 0.5000 0.5000 0.5000
P 0.0000 0.5000 0.0000

Values from the calculation:
Fermi-level density of states = 1.6 states/eV per cell
Crystal system = monoclinic
Magnetic moment = 0.00 μB per formula unit
Final energy = -4.806 eV/atom
E_form = 0.2955 eV/atom
Volume = 59 Å³/cell

A relaxed Ca2Si5Rh3 crystal. Source: Alexandria via LeMat-Bulk, functional PBE-GGA.

Cell: 8.2438 8.2438 5.6377 Å, 109.11 109.11 94.68°
Fractional positions:
Ca 0.0967 0.3669 0.2391
Ca 0.3669 0.0967 0.7391
Ca 0.6331 0.9033 0.2609
Ca 0.9033 0.6331 0.7609
Si 0.0061 0.9939 0.7500
Si 0.2350 0.4390 0.8373
Si 0.2828 0.7172 0.7500
Si 0.2902 0.7098 0.2500
Si 0.4390 0.2350 0.3373
Si 0.5610 0.7650 0.6627
Si 0.7098 0.2902 0.7500
Si 0.7172 0.2828 0.2500
Si 0.7650 0.5610 0.1627
Si 0.9939 0.0061 0.2500
Rh 0.0437 0.7610 0.3833
Rh 0.2390 0.9563 0.1167
Rh 0.4979 0.5021 0.2500
Rh 0.5021 0.4979 0.7500
Rh 0.7610 0.0437 0.8833
Rh 0.9563 0.2390 0.6167

Values from the calculation:
Fermi-level density of states = 6.3 states/eV per cell
Crystal system = monoclinic
Magnetic moment = 0.00 μB per formula unit
Final energy = -6.119 eV/atom
Volume = 334 Å³/cell
Formation energy from raw total energies = -0.802 eV/atom

A relaxed HoZrPb crystal. Source: Alexandria via LeMat-Bulk, functional PBE-GGA.

Cell: 4.4031 4.4031 8.2918 Å, 90.00 90.00 90.00°
Fractional positions:
Ho 0.2500 0.2500 0.1646
Ho 0.7500 0.7500 0.8354
Zr 0.2500 0.7500 0.5000
Zr 0.7500 0.2500 0.5000
Pb 0.2500 0.2500 0.7748
Pb 0.7500 0.7500 0.2252

Values from the calculation:
Fermi-level density of states = 4.4 states/eV per cell
Crystal system = tetragonal
Magnetic moment = 0.00 μB per formula unit
Final energy = -6.008 eV/atom
E_form = -0.3966 eV/atom
E above lowest polymorph = 0 meV per atom
Volume = 161 Å³/cell

A relaxed InCoP4 crystal. Source: Alexandria via LeMat-Bulk, functional PBE-GGA.

Cell: 5.1533 5.1533 5.1533 Å, 60.00 60.00 60.00°
Fractional positions:
In 0.0000 0.0000 0.0000
Co 0.2500 0.2500 0.2500
P 0.1356 0.6215 0.6215
P 0.6215 0.1356 0.6215
P 0.6215 0.6215 0.1356
P 0.6215 0.6215 0.6215

Values from the calculation:
Fermi-level density of states = 6.2 states/eV per cell
Crystal system = cubic
Magnetic moment = 1.58 μB per formula unit
Final energy = -4.497 eV/atom
E_form = 0.7503 eV/atom
Volume = 97 Å³/cell

A relaxed Pu2MgAg6 crystal. Source: Alexandria via LeMat-Bulk, functional PBE-GGA.

Cell: 8.5354 8.5354 2.9752 Å, 90.00 90.00 120.00°
Fractional positions:
Pu 0.3333 0.6667 0.0000
Pu 0.6667 0.3333 0.0000
Mg 0.0000 0.0000 0.0000
Ag 0.0000 0.3268 0.5000
Ag 0.0000 0.6732 0.5000
Ag 0.3268 0.0000 0.5000
Ag 0.3268 0.3268 0.5000
Ag 0.6732 0.0000 0.5000
Ag 0.6732 0.6732 0.5000

Values from the calculation:
Fermi-level density of states = 18.5 states/eV per cell
Crystal system = hexagonal
Magnetic moment = 12.21 μB per formula unit
Final energy = -5.273 eV/atom
E_form = -0.0101 eV/atom
Volume = 188 Å³/cell